# 1
Al5ZnGa6, relaxed, DFT PBE; SG = No. 12; V = 17.806 A^3/atom; energy relative to the elements = 59 meV/atom; uncorrected energy = -37.4 eV for the cell shown
1.0
-1.7340 5.6726 1.1875
-3.3806 -1.3613 7.3902
2.1274 0.0910 5.5836
Al Zn Ga
5 1 6
Cartesian
-0.0238 2.6677 5.5421
-0.4089 -0.4216 4.3290
-2.5573 2.1556 4.2889
-0.8442 -0.8486 8.6448
-2.9633 1.7346 8.6192
0.0000 0.0000 0.0000
-0.8864 4.1909 3.3543
-1.7079 0.6298 6.4701
-1.2710 1.0768 2.1294
-3.8436 3.2345 6.4484
-1.2793 3.7725 7.6913
-2.1007 0.2114 10.8070

---

# 2
Pu3BiAs2Rh9, relaxed, DFT PBE; SG = No. 164; V = 20.689 A^3/atom; energy relative to the elements = -72 meV/atom; uncorrected energy = -123.4 eV for the cell shown
1.0
7.2180 0.0000 0.0000
-3.6090 6.2510 0.0000
0.0000 0.0000 6.8782
Pu Bi As Rh
3 1 2 9
Cartesian
0.0000 4.1673 4.8183
0.0000 0.0000 0.0000
3.6090 2.0837 2.0599
0.0000 0.0000 3.4391
0.0000 4.1673 1.0046
3.6090 2.0837 5.8737
5.0625 1.2444 4.2250
3.6090 3.7621 4.2250
2.1555 1.2444 4.2250
1.4535 5.0065 2.6532
0.0000 2.4889 2.6532
-1.4535 5.0065 2.6532
3.6090 0.0000 0.0000
-1.8045 3.1255 0.0000
1.8045 3.1255 0.0000

---

# 3
HfPdNO2, relaxed, DFT PBE; SG = No. 123; V = 14.078 A^3/atom; uncorrected energy = -37.2 eV for the cell shown; uncorrected formation energy = -757.9 meV/atom
1.0
4.0182 0.0000 0.0000
0.0000 4.0182 0.0000
0.0000 0.0000 4.3597
Hf O Pd N
1 2 1 1
Cartesian
0.0000 0.0000 0.0000
0.0000 2.0091 0.0000
2.0091 0.0000 0.0000
2.0091 2.0091 2.1799
0.0000 0.0000 2.1799

---

# 4
HfScCdRe, relaxed, DFT PBE; SG = No. 216; V = 19.093 A^3/atom; energy relative to the elements = -132 meV/atom; uncorrected energy = -30.2 eV for the cell shown
1.0
-4.1794 -0.8889 -2.1027
-0.7073 -4.1456 -2.2344
-2.9615 -3.2325 1.8600
Sc Re Hf Cd
1 1 1 1
Cartesian
-5.8862 -6.2003 -1.8578
-3.9241 -4.1335 -1.2386
-1.9621 -2.0668 -0.6193
0.0000 0.0000 0.0000

---

# 5
CsSr3Ag4Br12, relaxed, DFT PBE; SG = No. 155; V = 42.520 A^3/atom; uncorrected energy = -61.7 eV for the cell shown; uncorrected formation energy = -1215.0 meV/atom
1.0
-5.3042 -6.5465 -5.1920
8.8103 0.2630 -4.5008
1.7176 -4.4408 8.6762
Cs Sr Ag Br
1 3 4 12
Cartesian
0.0000 0.0000 0.0000
0.8597 -3.5727 -4.8901
-1.3489 -5.3604 2.6198
5.7128 -1.7912 1.2537
-3.3077 -8.2180 -0.7982
5.5567 -4.4790 5.3080
5.5865 -3.3893 -6.0346
2.6118 -5.3621 -0.5083
1.4363 -6.1417 1.6756
-0.2379 -6.2167 -6.1365
8.3400 -2.5986 -0.2278
-0.2667 -7.2711 4.8394
-1.4496 -3.4029 0.2706
1.8307 -1.5093 -2.8505
2.7510 -1.5179 1.9704
4.9522 -8.4627 1.9103
1.6891 -9.7259 -1.5313
5.8976 -7.5539 -2.8192
1.4481 -5.7111 -2.8067
4.9511 -4.2335 -0.3937

---

# 6
PmPaNi2, relaxed, DFT PBE; SG = No. 166; V = 21.493 A^3/atom; energy relative to the elements = -206 meV/atom; uncorrected energy = -26.6 eV for the cell shown
1.0
3.7301 0.0000 0.0000
1.8651 3.2304 0.0000
1.8651 1.0768 7.1348
Ni Pa Pm
2 1 1
Cartesian
5.5952 3.2304 5.5527
1.8651 1.0768 1.5822
0.0000 0.0000 0.0000
3.7301 2.1536 3.5674

---

# 7
NaCd2BiSb, relaxed, DFT PBE; SG = No. 123; V = 39.849 A^3/atom; uncorrected energy = -9.8 eV for the cell shown; uncorrected formation energy = 276.7 meV/atom
1.0
5.7367 0.0000 0.0000
0.0000 6.0543 0.0000
0.0000 0.0000 5.7367
Sb Na Bi Cd
1 1 1 2
Cartesian
0.0000 0.0000 0.0000
2.8683 3.0271 2.8683
0.0000 3.0271 0.0000
0.0000 0.0000 2.8683
2.8683 0.0000 0.0000

---

# 8
In4RePb, relaxed, DFT PBE; SG = No. 216; V = 23.825 A^3/atom; energy relative to the elements = 847 meV/atom; uncorrected energy = -22.0 eV for the cell shown
1.0
0.0000 4.1500 4.1500
4.1500 0.0000 4.1500
4.1500 4.1500 0.0000
In Re Pb
4 1 1
Cartesian
3.1067 5.1933 5.1933
5.1933 5.1933 3.1067
5.1933 3.1067 5.1933
3.1067 3.1067 3.1067
0.0000 0.0000 0.0000
6.2250 6.2250 6.2250